TaMnTc2 after structural relaxation. Source: Alexandria via LeMat-Bulk, functional PBE.

```
TaMnTc2
1.0
5.0844 -0.0311 -0.0038
2.2262 4.5712 0.0038
-3.1831 -3.0305 2.5566
Ta Mn Tc
1 1 2
Cartesian
1.3492 1.9054 1.2802 Ta
2.7783 -0.3957 1.2764 Mn
7.3063 4.5375 0.0000 Tc
3.6596 2.2727 0.0000 Tc
```

Properties
The value obtained for the energy relative to the elements is -7 meV/atom. The value obtained for the density is 12.0 g cm⁻³. As for the space-group type: Immm (71). The total energy is -10.445 eV/atom.